Record 1
VASP calculation (PBE) on a relaxed structure of MoPd2Cl.

Unit cell a=4.556 b=4.556 c=4.556 alpha=60.00 beta=60.00 gamma=60.00
Fractional positions:
Cl  0.000  0.000  0.000
Pd  0.750  0.750  0.750
Pd  0.250  0.250  0.250
Mo  0.500  0.500  0.500

E above lowest polymorph   151 meV per atom
Symmetry   No. 225
Calculated volume   16.72 A^3/atom
Formation energy from raw total energies   712.3 meV/atom
Mass density   8.55 Mg/m³

Record 2
VASP calculation (PBE) on a relaxed structure of AgHg3.

Unit cell a=5.372 b=5.372 c=12.348 alpha=149.05 beta=149.05 gamma=37.23
Fractional positions:
Ag  0.000  0.000  0.000
Hg  0.000  0.000  0.500
Hg  0.976  0.976  0.236
Hg  0.024  0.024  0.764

Formation enthalpy at 0 K   0.1020 eV per atom
Symmetry   No. 12
Calculated volume   22.93 A^3/atom
Mass density   12.85 Mg/m³

Record 3
VASP calculation (PBE) on a relaxed structure of CaCr2Ir2.

Unit cell a=7.576 b=7.576 c=2.805 alpha=90.00 beta=90.00 gamma=90.00
Fractional positions:
Ca  0.000  0.000  0.000
Ca  0.500  0.500  0.000
Ir  0.633  0.133  0.000
Ir  0.867  0.633  0.000
Cr  0.160  0.660  0.500
Ir  0.133  0.367  0.000
Cr  0.340  0.160  0.500
Cr  0.840  0.340  0.500
Cr  0.660  0.840  0.500
Ir  0.367  0.867  0.000

E above lowest polymorph   103 meV per atom
Formation enthalpy at 0 K   0.0389 eV per atom
Symmetry   No. 127
Calculated volume   16.10 A^3/atom
Mass density   10.90 Mg/m³

Record 4
VASP calculation (PBE) on a relaxed structure of CoRePb3.

Unit cell a=5.323 b=5.323 c=5.323 alpha=90.00 beta=90.00 gamma=90.00
Fractional positions:
Pb  0.000  0.500  0.000
Re  0.000  0.000  0.000
Pb  0.000  0.000  0.500
Co  0.500  0.500  0.500
Pb  0.500  0.000  0.000

E above lowest polymorph   0 meV per atom
Formation enthalpy at 0 K   1.1532 eV per atom
Symmetry   No. 221
Calculated volume   30.17 A^3/atom
Mass density   9.54 Mg/m³